(1)
## NaAl6Fe3Si6B3O31 (PBE with a Hubbard U)

Data for an optimized crystal structure of NaAl6Fe3Si6B3O31.

Geometry as CIF:
```
data_NaAl6Fe3Si6B3O31
_chemical_formula_sum 'Na1 Al6 Fe3 Si6 B3 O31'
_symmetry_space_group_name_H-M 'P 1'
_symmetry_Int_Tables_number 1
_cell_length_a 9.558
_cell_length_b 9.558
_cell_length_c 9.558
_cell_angle_alpha 113.73
_cell_angle_beta 113.73
_cell_angle_gamma 113.73
loop_
_symmetry_equiv_pos_as_xyz
'x,y,z'
loop_
_atom_site_label
_atom_site_type_symbol
_atom_site_fract_x
_atom_site_fract_y
_atom_site_fract_z
Na1 Na 0.000 0.000 0.000
Al1 Al 0.316 0.653 0.872
Al2 Al 0.316 0.872 0.653
Al3 Al 0.653 0.316 0.872
Al4 Al 0.653 0.872 0.316
Al5 Al 0.872 0.316 0.653
Al6 Al 0.872 0.653 0.316
Fe1 Fe 0.461 0.654 0.654
Fe2 Fe 0.654 0.461 0.654
Fe3 Fe 0.654 0.654 0.461
Si1 Si 0.028 0.220 0.411
Si2 Si 0.028 0.411 0.220
Si3 Si 0.220 0.028 0.411
Si4 Si 0.220 0.411 0.028
Si5 Si 0.411 0.028 0.220
Si6 Si 0.411 0.220 0.028
B1 B 0.655 0.655 0.990
B2 B 0.655 0.990 0.655
B3 B 0.990 0.655 0.655
O1 O 0.049 0.049 0.329
O2 O 0.049 0.329 0.049
O3 O 0.050 0.567 0.717
O4 O 0.050 0.717 0.567
O5 O 0.141 0.430 0.857
O6 O 0.141 0.857 0.430
O7 O 0.231 0.231 0.956
O8 O 0.231 0.956 0.231
O9 O 0.249 0.446 0.633
O10 O 0.249 0.633 0.446
O11 O 0.329 0.049 0.049
O12 O 0.429 0.821 0.821
O13 O 0.430 0.141 0.857
O14 O 0.430 0.857 0.141
O15 O 0.446 0.249 0.633
O16 O 0.446 0.633 0.249
O17 O 0.463 0.463 0.463
O18 O 0.567 0.050 0.717
O19 O 0.567 0.717 0.050
O20 O 0.633 0.249 0.446
O21 O 0.633 0.446 0.249
O22 O 0.677 0.677 0.863
O23 O 0.677 0.863 0.677
O24 O 0.717 0.050 0.567
O25 O 0.717 0.567 0.050
O26 O 0.821 0.429 0.821
O27 O 0.821 0.821 0.429
O28 O 0.857 0.141 0.430
O29 O 0.857 0.430 0.141
O30 O 0.863 0.677 0.677
O31 O 0.956 0.231 0.231
```

***

(2)
## Al2FeBO6 (PBE with a Hubbard U)

Data for an optimized crystal structure of Al2FeBO6.

Geometry as CIF:
```
data_Al2FeBO6
_chemical_formula_sum 'Al4 Fe2 B2 O12'
_symmetry_space_group_name_H-M 'P 1'
_symmetry_Int_Tables_number 1
_cell_length_a 6.575
_cell_length_b 6.575
_cell_length_c 5.099
_cell_angle_alpha 105.09
_cell_angle_beta 105.09
_cell_angle_gamma 98.80
loop_
_symmetry_equiv_pos_as_xyz
'x,y,z'
loop_
_atom_site_label
_atom_site_type_symbol
_atom_site_fract_x
_atom_site_fract_y
_atom_site_fract_z
Al1 Al 0.042 0.221 0.154
Al2 Al 0.221 0.042 0.654
Al3 Al 0.779 0.958 0.346
Al4 Al 0.958 0.779 0.846
Fe1 Fe 0.397 0.603 0.750
Fe2 Fe 0.603 0.397 0.250
B1 B 0.329 0.671 0.250
B2 B 0.671 0.329 0.750
O1 O 0.052 0.192 0.493
O2 O 0.174 0.649 0.971
O3 O 0.192 0.052 0.993
O4 O 0.298 0.457 0.310
O5 O 0.351 0.826 0.529
O6 O 0.457 0.298 0.810
O7 O 0.543 0.702 0.190
O8 O 0.649 0.174 0.471
O9 O 0.702 0.543 0.690
O10 O 0.808 0.948 0.007
O11 O 0.826 0.351 0.029
O12 O 0.948 0.808 0.507
```

***

(3)
## AlFeB2Pb2O8 (PBE with a Hubbard U)

Data for an optimized crystal structure of AlFeB2Pb2O8.

Geometry as CIF:
```
data_AlFeB2Pb2O8
_chemical_formula_sum 'Al2 Fe2 B4 Pb4 O16'
_symmetry_space_group_name_H-M 'P 1'
_symmetry_Int_Tables_number 1
_cell_length_a 5.969
_cell_length_b 7.212
_cell_length_c 10.072
_cell_angle_alpha 90.00
_cell_angle_beta 125.36
_cell_angle_gamma 90.00
loop_
_symmetry_equiv_pos_as_xyz
'x,y,z'
loop_
_atom_site_label
_atom_site_type_symbol
_atom_site_fract_x
_atom_site_fract_y
_atom_site_fract_z
Al1 Al 0.000 0.000 0.000
Al2 Al 0.000 0.500 0.500
Fe1 Fe 0.500 0.000 0.000
Fe2 Fe 0.500 0.500 0.500
B1 B 0.009 0.225 0.263
B2 B 0.009 0.275 0.763
B3 B 0.991 0.725 0.237
B4 B 0.991 0.775 0.737
Pb1 Pb 0.397 0.576 0.140
Pb2 Pb 0.397 0.924 0.640
Pb3 Pb 0.603 0.076 0.360
Pb4 Pb 0.603 0.424 0.860
O1 O 0.135 0.170 0.188
O2 O 0.135 0.330 0.688
O3 O 0.145 0.170 0.904
O4 O 0.145 0.330 0.404
O5 O 0.261 0.671 0.307
O6 O 0.261 0.829 0.807
O7 O 0.351 0.597 0.615
O8 O 0.351 0.903 0.115
O9 O 0.649 0.097 0.885
O10 O 0.649 0.403 0.385
O11 O 0.739 0.171 0.193
O12 O 0.739 0.329 0.693
O13 O 0.855 0.670 0.596
O14 O 0.855 0.830 0.096
O15 O 0.865 0.670 0.312
O16 O 0.865 0.830 0.812
```

***

Table of DOS(E_F) (states/eV/cell), in record order: 9.66, 0.00, 0.00
Table of size of the total moment (μB per formula unit), in record order: 13.994, 5.016, 4.998
Table of E (eV per atom), in record order: -7.49, -7.30, -7.03